Computed, not measured: a relaxed FeAsCl crystal at the GGA-PBE level of DFT.

The space-group type is No. 156. The energy relative to the lowest polymorph listed for this composition is 0.0 kJ/mol of atoms. Its density is 4.4 g/cm³.

Unit cell a=3.219 b=3.219 c=6.981 alpha=90.00 beta=90.00 gamma=120.00
Fractional positions:
Fe  0.000  0.000  0.000
As  0.333  0.667  0.230
Cl  0.667  0.333  0.789


Computed, not measured: a relaxed FeAsCl2 crystal at the GGA-PBE level of DFT.

The space-group type is No. 166. The energy relative to the lowest polymorph listed for this composition is 30.2 kJ/mol of atoms. Its density is 3.4 g/cm³.

Unit cell a=11.286 b=11.286 c=11.286 alpha=16.33 beta=16.33 gamma=16.33
Fractional positions:
Fe  0.000  0.000  0.000
As  0.500  0.500  0.500
Cl  0.372  0.372  0.372
Cl  0.628  0.628  0.628


no.,total DFT energy (no corrections) (eV/atom),uncorrected formation energy (eV per atom),DOS(E_F) (states/eV/atom)
1,-5.195,-0.21,0.4634
2,-4.121,0.08,0.5911